The following is a DFT calculation (GGA+U) of crystalline VP2IF at its relaxed geometry.

Output
For the uncorrected energy, the calculation gives -15.3 eV for the cell shown. The density is 3.0 g/cm³. As for the symmetry: P4/mmm.

Lattice parameters (Å, degrees): 5.1843 5.1843 5.4073 90.00 90.00 90.00
Closest atoms and distances in Å follow each position.
Sites, in units of the cell vectors:
V 0.0000 0.0000 0.0000  2 I 2.70
P 0.0000 0.5000 0.5000  2 I 2.59
P 0.5000 0.0000 0.5000  2 I 2.59
I 0.0000 0.0000 0.5000  4 P 2.59, 2 V 2.70
F 0.5000 0.5000 0.0000  4 V 3.67, 8 P 3.75